Record 1
Here is a relaxed EuBrO crystal from the Alexandria database. Energies are from PBE.

Geometry as POSCAR:
```
EuBrO
1.0
3.938 0.000 0.000
-1.969 3.410 0.000
0.000 0.000 4.806
Eu Br O
1 1 1
direct
0.000 0.000 0.000
0.667 0.333 0.500
0.333 0.667 0.000
```

Output
* SG: P-6m2
* ΔE_f (raw): -2.13 eV/atom

Record 2
Here is a relaxed Sc6In2HO crystal from the Alexandria database. Energies are from PBE.

Geometry as POSCAR:
```
Sc6In2HO
1.0
0.000 4.498 4.498
4.498 0.000 4.498
4.498 4.498 0.000
Sc In H O
6 2 1 1
direct
0.249 0.249 0.751
0.249 0.751 0.249
0.249 0.751 0.751
0.751 0.249 0.249
0.751 0.249 0.751
0.751 0.751 0.249
0.250 0.250 0.250
0.750 0.750 0.750
0.500 0.500 0.500
0.000 0.000 0.000
```

Output
* SG: Fm-3m
* electronic total energy: -60.949 eV per cell

Record 3
Here is a relaxed CaSi2Pd4 crystal from the Alexandria database. Energies are from PBE.

Geometry as POSCAR:
```
CaSi2Pd4
1.0
7.892 0.000 0.000
0.000 7.892 0.000
0.000 0.000 3.750
Ca Si Pd
2 4 8
direct
0.000 0.000 0.000
0.500 0.500 0.500
0.230 0.230 0.500
0.270 0.730 0.000
0.730 0.270 0.000
0.770 0.770 0.500
0.073 0.678 0.500
0.178 0.427 0.000
0.322 0.927 0.500
0.427 0.178 0.000
0.573 0.822 0.000
0.678 0.073 0.500
0.822 0.573 0.000
0.927 0.322 0.500
```

Output
* SG: P4_2/mnm
* ΔE_f (raw): -0.75 eV/atom
* relative energy among the computed polymorphs: 0 meV per atom

Record 4
Here is a relaxed Al2TlCr crystal from the Alexandria database. Energies are from PBE.

Geometry as POSCAR:
```
Al2TlCr
1.0
-1.986 1.986 4.278
1.986 -1.986 4.278
1.986 1.986 -4.278
Al Tl Cr
2 1 1
direct
0.250 0.750 0.500
0.750 0.250 0.500
0.000 0.000 0.000
0.500 0.500 0.000
```

Output
* SG: I4/mmm
* energy of formation from the pure elements: 124.5 kJ/mol of formula units
* relative energy among the computed polymorphs: 158 meV per atom

Record 5
Here is a relaxed CePmBr crystal from the Alexandria database. Energies are from PBE.

Geometry as POSCAR:
```
CePmBr
1.0
5.325 0.000 0.000
-2.663 4.612 0.000
0.000 0.000 3.643
Ce Pm Br
1 1 1
direct
0.000 0.000 0.000
0.667 0.333 0.500
0.333 0.667 0.500
```

Output
* SG: P-6m2
* ΔE_f (raw): -0.25 eV/atom
* relative energy among the computed polymorphs: 167 meV per atom

Record 6
Here is a relaxed AcPrTl6 crystal from the Alexandria database. Energies are from PBE.

Geometry as POSCAR:
```
AcPrTl6
1.0
4.935 0.000 0.000
0.000 4.935 0.000
0.000 0.000 9.863
Ac Pr Tl
1 1 6
direct
0.000 0.000 0.000
0.000 0.000 0.500
0.000 0.500 0.257
0.000 0.500 0.743
0.500 0.000 0.257
0.500 0.000 0.743
0.500 0.500 0.000
0.500 0.500 0.500
```

Output
* SG: P4/mmm
* energy of formation from the pure elements: -247.7 kJ/mol of formula units